DFT (GGA-PBE) results for a geometry-optimized Pr7InAg2 structure.

Results
* formation enthalpy at 0 K: 195 meV per atom
* DFT total energy: -3.9948 eV per atom
* DOS at the Fermi energy: 13.55 states/eV/cell
* calculated volume: 375.57 Å³ per cell
* crystal system: orthorhombic

The structure in POSCAR format:
```
Pr7InAg2
1.0
5.324 0.000 0.000
0.000 8.859 0.014
0.000 -3.896 7.957
Pr In Ag
7 1 2
direct
0.500 0.303 0.068
0.500 0.697 0.932
0.000 0.764 0.236
0.000 0.236 0.764
0.500 0.932 0.697
0.500 0.500 0.500
0.500 0.068 0.303
0.000 0.000 0.000
0.500 0.697 0.303
0.500 0.303 0.697
```